[1]
Re2AgRu, relaxed, DFT PBE-GGA; uncorrected energy = -35.389 eV per cell; ΔE_f = 39.42 kJ/mol of atoms; energy above the most stable polymorph in this dataset = 150 meV per atom
1.0
-0.993 0.248 -2.526
-0.969 -2.544 0.131
-7.074 2.853 3.060
Ru Re Ag
1 2 1
Direct
0.500 0.500 0.250
0.000 0.000 0.482
0.000 0.000 0.018
0.500 0.500 0.750

***

[2]
ReAgRu2, relaxed, DFT PBE-GGA; uncorrected energy = -31.639 eV per cell; ΔE_f = 53.35 kJ/mol of atoms; energy above the most stable polymorph in this dataset = 369 meV per atom
1.0
4.894 0.002 0.000
1.909 4.506 0.000
-3.401 -2.254 2.701
Ru Ag Re
2 1 1
Direct
0.000 0.000 0.000
0.250 0.750 0.500
0.500 0.500 0.000
0.750 0.250 0.500

***

[3]
ReAgRu2, relaxed, DFT PBE-GGA; uncorrected energy = -31.698 eV per cell; ΔE_f = 51.94 kJ/mol of atoms; energy above the most stable polymorph in this dataset = 354 meV per atom
1.0
1.513 -4.032 -0.905
-1.721 -3.503 2.031
-2.504 -2.836 -2.247
Ru Re Ag
2 1 1
Direct
0.250 0.250 0.250
0.750 0.750 0.750
0.500 0.500 0.500
0.000 0.000 0.000

***

[4]
Re2AgRu, relaxed, DFT PBE-GGA; uncorrected energy = -34.723 eV per cell; ΔE_f = 55.48 kJ/mol of atoms; energy above the most stable polymorph in this dataset = 317 meV per atom
1.0
-2.350 -5.062 -0.165
1.998 -4.235 3.042
-2.326 5.059 -0.419
Re Ag Ru
2 1 1
Direct
0.973 0.973 0.000
0.743 0.243 0.500
0.257 0.757 0.500
0.526 0.526 0.000

***

[5]
ReAgRu2, relaxed, DFT PBE-GGA; uncorrected energy = -32.113 eV per cell; ΔE_f = 41.92 kJ/mol of atoms; energy above the most stable polymorph in this dataset = 250 meV per atom
1.0
-1.463 -4.328 1.596
1.252 -4.519 1.196
0.730 0.561 4.686
Ru Ag Re
2 1 1
Direct
0.005 0.005 0.009
0.739 0.739 0.759
0.498 0.498 0.507
0.259 0.259 0.225

***

[6]
ReAgRu2, relaxed, DFT PBE-GGA; uncorrected energy = -32.443 eV per cell; ΔE_f = 33.97 kJ/mol of atoms; energy above the most stable polymorph in this dataset = 168 meV per atom
1.0
3.828 0.000 0.000
0.000 2.749 0.003
0.000 2.736 5.761
Ru Re Ag
2 1 1
Direct
0.000 0.024 0.975
0.000 0.476 0.525
0.500 0.750 0.750
0.500 0.250 0.250

***

[7]
ReAgRu, relaxed, DFT PBE-GGA; uncorrected energy = -23.474 eV per cell; ΔE_f = 35.42 kJ/mol of atoms; energy above the most stable polymorph in this dataset = 127 meV per atom
1.0
6.242 0.017 0.000
4.947 3.806 0.000
-5.595 -1.912 2.002
Ru Ag Re
1 1 1
Direct
0.683 0.683 0.000
0.000 0.000 0.000
0.317 0.317 0.000

***

[8]
ReAgRu4, relaxed, DFT PBE-GGA; uncorrected energy = -48.577 eV per cell; ΔE_f = 61.53 kJ/mol of atoms
1.0
2.393 -4.089 1.785
2.025 0.076 4.640
-2.086 -2.732 3.717
Ru Ag Re
4 1 1
Direct
0.625 0.625 0.125
0.625 0.125 0.625
0.625 0.625 0.625
0.125 0.625 0.625
0.250 0.250 0.250
0.000 0.000 0.000